# Ac2PrNdHg4, relaxed, DFT GGA-PBE
data_Ac2PrNdHg4
_chemical_formula_sum 'Ac6 Pr3 Nd3 Hg12'
_cell_length_a 5.5852
_cell_length_b 5.5852
_cell_length_c 27.4578
_cell_angle_alpha 90.00
_cell_angle_beta 90.00
_cell_angle_gamma 120.00
_symmetry_space_group_name_H-M 'R -3 m'
_symmetry_Int_Tables_number 166
_symmetry_space_group_name_Hall '-R 3 2"'
loop_
_atom_site_label
_atom_site_type_symbol
_atom_site_fract_x
_atom_site_fract_y
_atom_site_fract_z
_atom_site_occupancy
Ac1 Ac 0.0000 0.0000 0.2499 1
Pr1 Pr 0.0000 0.0000 0.0000 1
Nd1 Nd 0.0000 0.0000 0.5000 1
Hg1 Hg 0.0000 0.0000 0.1256 1
Hg2 Hg 0.0000 0.0000 0.3752 1
# Formation enthalpy at 0 K, eV/atom: -0.46